# 1
A relaxed structure of GeTeP. Source: the Alexandria database, functional GGA-PBE.

Calculated values
**Excess energy over the best structure of this formula in the dataset**: 0.000 eV per atom
**Formation energy (no corrections)**: 12 kJ per mole of atoms
**Symmetry**: No. 2

Cell lengths 3.787, 6.990, 6.088 Å; angles 92.27, 72.78, 89.90 degrees
Fractional positions:
Ge 0.824 0.869 0.346
Ge 0.176 0.131 0.654
Te 0.123 0.509 0.748
Te 0.877 0.491 0.252
P 0.627 0.941 0.758
P 0.373 0.059 0.242

=====

# 2
A relaxed structure of Y3Tl2H. Source: the Alexandria database, functional GGA-PBE.

Calculated values
**Raw total energy**: -4.875 eV/atom
**Symmetry**: No. 15

Cell lengths 6.289, 6.886, 7.687 Å; angles 97.26, 114.14, 90.00 degrees
Fractional positions:
Y 0.415 0.250 0.000
Y 0.585 0.750 0.000
Y 0.038 0.145 0.243
Y 0.795 0.355 0.757
Y 0.205 0.645 0.243
Y 0.962 0.855 0.757
Tl 0.743 0.539 0.371
Tl 0.628 0.039 0.371
Tl 0.372 0.961 0.629
Tl 0.257 0.461 0.629
H 0.926 0.750 0.000
H 0.074 0.250 0.000

=====

# 3
A relaxed structure of YTeCN2. Source: the Alexandria database, functional GGA-PBE.

Calculated values
**Excess energy over the best structure of this formula in the dataset**: 0.474 eV per atom
**Formation energy (no corrections)**: 198 kJ per mole of atoms
**Symmetry**: No. 123

Cell lengths 4.361, 4.361, 6.420 Å; angles 90.00, 90.00, 90.00 degrees
Fractional positions:
Y 0.000 0.000 0.000
C 0.500 0.500 0.500
Te 0.000 0.000 0.500
N 0.000 0.500 0.000
N 0.500 0.000 0.000

=====

What did we get for total magnetization? Answer: 0.00, 0.00, 4.51 μB/f.u., in the order shown.